Record 1
A plane-wave DFT calculation with PBE+U was carried out for a relaxed NiSbPtO6 crystal.

## Properties
**Calculated total energy**: -5.656 eV per atom

Unit cell a=4.6538 b=4.6538 c=9.4287 alpha=90.00 beta=90.00 gamma=90.00
With the nearest neighbours (Å) after each atom.
Positions (direct):
Ni 0.5000 0.5000 0.4993  6 O 2.03-2.04
Ni 0.0000 0.0000 0.9993  6 O 2.03-2.04
O 0.8091 0.1909 0.4991  1 Pt 2.01, 1 Sb 2.03, 1 Ni 2.03
O 0.1974 0.8026 0.8325  1 Pt 1.99, 1 Sb 2.02, 1 Ni 2.04
O 0.6974 0.6974 0.3325  1 Pt 1.99, 1 Sb 2.02, 1 Ni 2.04
O 0.6909 0.6909 0.9991  1 Pt 2.01, 1 Sb 2.03, 1 Ni 2.03
O 0.8026 0.1974 0.8325  1 Pt 1.99, 1 Sb 2.02, 1 Ni 2.04
O 0.8070 0.1930 0.1682  1 Pt 2.01, 1 Sb 2.02, 1 Ni 2.04
O 0.1930 0.8070 0.1682  1 Pt 2.01, 1 Sb 2.02, 1 Ni 2.04
O 0.3070 0.3070 0.6682  1 Pt 2.01, 1 Sb 2.02, 1 Ni 2.04
O 0.1909 0.8091 0.4991  1 Pt 2.01, 1 Sb 2.03, 1 Ni 2.03
O 0.3026 0.3026 0.3325  1 Pt 1.99, 1 Sb 2.02, 1 Ni 2.04
O 0.6930 0.6930 0.6682  1 Pt 2.01, 1 Sb 2.02, 1 Ni 2.04
O 0.3091 0.3091 0.9991  1 Pt 2.01, 1 Sb 2.03, 1 Ni 2.03
Pt 0.5000 0.5000 0.8334  6 O 1.99-2.01
Pt 0.0000 0.0000 0.3334  6 O 1.99-2.01
Sb 0.5000 0.5000 0.1678  6 O 2.02-2.03
Sb 0.0000 0.0000 0.6678  6 O 2.02-2.03

---

Record 2
A plane-wave DFT calculation with PBE+U was carried out for a relaxed Sm2NiPtO6 crystal.

## Properties
**Calculated total energy**: -6.922 eV per atom

Unit cell a=5.7972 b=5.4170 c=9.4751 alpha=55.21 beta=90.00 gamma=90.00
With the nearest neighbours (Å) after each atom.
Positions (direct):
Pt 0.5000 0.0000 0.5000  6 O 2.05-2.06
Pt 0.0000 0.0000 0.0000  6 O 2.05-2.06
O 0.0383 0.3620 0.7507  1 Pt 2.05, 1 Ni 2.06
O 0.3008 0.1295 0.0567  1 Pt 2.06, 1 Ni 2.10
O 0.1946 0.7470 0.9446  1 Pt 2.06, 1 Ni 2.10
O 0.1992 0.1295 0.5567  1 Pt 2.06, 1 Ni 2.10
O 0.4617 0.3620 0.2507  1 Pt 2.05, 1 Ni 2.06
O 0.6946 0.2530 0.5554  1 Pt 2.06, 1 Ni 2.10
O 0.3054 0.7470 0.4446  1 Pt 2.06, 1 Ni 2.10
O 0.5383 0.6380 0.7493  1 Pt 2.05, 1 Ni 2.06
O 0.6992 0.8705 0.9433  1 Pt 2.06, 1 Ni 2.10
O 0.9617 0.6380 0.2493  1 Pt 2.05, 1 Ni 2.06
O 0.8008 0.8705 0.4433  1 Pt 2.06, 1 Ni 2.10
O 0.8054 0.2530 0.0554  1 Pt 2.06, 1 Ni 2.10
Sm 0.9265 0.7713 0.7506  6 O 2.31-2.56
Sm 0.0735 0.2287 0.2494  6 O 2.31-2.56
Sm 0.5735 0.7713 0.2506  6 O 2.31-2.56
Sm 0.4265 0.2287 0.7494  6 O 2.31-2.56
Ni 0.5000 0.5000 0.0000  6 O 2.06-2.10
Ni 0.0000 0.5000 0.5000  6 O 2.06-2.10

---

Record 3
A plane-wave DFT calculation with PBE+U was carried out for a relaxed NiSnPtO6 crystal.

## Properties
**Calculated total energy**: -5.558 eV per atom

Unit cell a=4.6780 b=4.6780 c=9.5301 alpha=90.00 beta=90.00 gamma=90.00
With the nearest neighbours (Å) after each atom.
Positions (direct):
Sn 0.0000 0.0000 0.6679  6 O 2.07-2.10
Sn 0.5000 0.5000 0.1679  6 O 2.07-2.10
O 0.1931 0.8069 0.4934  1 Pt 1.99, 1 Ni 2.03, 1 Sn 2.10
O 0.2962 0.2962 0.3358  1 Pt 1.96, 1 Ni 2.06, 1 Sn 2.09
O 0.7038 0.7038 0.3358  1 Pt 1.96, 1 Ni 2.06, 1 Sn 2.09
O 0.2038 0.7962 0.8358  1 Pt 1.96, 1 Ni 2.06, 1 Sn 2.09
O 0.8127 0.1873 0.1703  1 Pt 1.99, 1 Ni 2.05, 1 Sn 2.07
O 0.6931 0.6931 0.9934  1 Pt 1.99, 1 Ni 2.03, 1 Sn 2.10
O 0.8069 0.1931 0.4934  1 Pt 1.99, 1 Ni 2.03, 1 Sn 2.10
O 0.7962 0.2038 0.8358  1 Pt 1.96, 1 Ni 2.06, 1 Sn 2.09
O 0.6873 0.6873 0.6703  1 Pt 1.99, 1 Ni 2.05, 1 Sn 2.07
O 0.3069 0.3069 0.9934  1 Pt 1.99, 1 Ni 2.03, 1 Sn 2.10
O 0.3127 0.3127 0.6703  1 Pt 1.99, 1 Ni 2.05, 1 Sn 2.07
O 0.1873 0.8127 0.1703  1 Pt 1.99, 1 Ni 2.05, 1 Sn 2.07
Ni 0.0000 0.0000 0.9992  6 O 2.03-2.06
Ni 0.5000 0.5000 0.4992  6 O 2.03-2.06
Pt 0.0000 0.0000 0.3339  6 O 1.96-1.99
Pt 0.5000 0.5000 0.8339  6 O 1.96-1.99